Entry 1:
Material: LaHgBr6
Method: DFT, PBE
State: optimized geometry

a = 7.0984 Å, b = 7.4021 Å, c = 7.4358 Å
α = 65.34°, β = 72.79°, γ = 59.87°
Site moments in Bohr magnetons follow the coordinates.
Fractional coordinates of all 8 atoms:
La (0.5000, 0.5000, 0.5000)  0.00
Hg (0.0000, 0.0000, 0.0000)  0.00
Br (0.0797, 0.4504, 0.6812)  0.35
Br (0.7540, 0.0404, 0.7820)  0.01
Br (0.5961, 0.2582, 0.2444)  0.02
Br (0.2460, 0.9596, 0.2180)  0.01
Br (0.9203, 0.5496, 0.3188)  0.35
Br (0.4039, 0.7418, 0.7556)  0.02

## Properties
- energy relative to the elements, uncorrected (eV/atom) = -1.00

=====

Entry 2:
Material: La2HgBr
Method: DFT, PBE
State: optimized geometry

a = 5.4937 Å, b = 5.4937 Å, c = 5.4937 Å
α = 60.00°, β = 60.00°, γ = 60.00°
Fractional coordinates of all 4 atoms:
Hg (0.5000, 0.5000, 0.5000)
Br (0.0000, 0.0000, 0.0000)
La (0.2500, 0.2500, 0.2500)
La (0.7500, 0.7500, 0.7500)

## Properties
- DOS at the Fermi energy (states/eV per atom) = 2.094
- energy relative to the elements, uncorrected (eV/atom) = -0.71
- energy relative to the lowest polymorph listed for this composition (eV/f.u.) = 0.76

=====

Entry 3:
Material: La2HgBr
Method: DFT, PBE
State: optimized geometry

a = 4.4838 Å, b = 4.4838 Å, c = 7.7212 Å
α = 73.22°, β = 73.22°, γ = 59.81°
Fractional coordinates of all 4 atoms:
Hg (0.2500, 0.2500, 0.2500)
Br (0.7500, 0.7500, 0.7500)
La (0.0025, 0.0025, 0.9925)
La (0.4975, 0.4975, 0.5075)

## Properties
- DOS at the Fermi energy (states/eV per atom) = 0.994
- energy relative to the elements, uncorrected (eV/atom) = -0.86
- energy relative to the lowest polymorph listed for this composition (eV/f.u.) = 0.16

=====

Entry 4:
Material: La3HgBr2
Method: DFT, PBE
State: optimized geometry

a = 4.6563 Å, b = 6.2123 Å, c = 7.4232 Å
α = 114.63°, β = 108.28°, γ = 90.00°
Fractional coordinates of all 6 atoms:
La (0.3275, 0.3282, 0.6549)
La (0.0000, 0.0000, 0.0000)
La (0.6725, 0.6718, 0.3451)
Hg (0.0000, 0.5000, 0.0000)
Br (0.6619, 0.1611, 0.3238)
Br (0.3381, 0.8389, 0.6762)

## Properties
- DOS at the Fermi energy (states/eV per atom) = 0.766
- energy relative to the elements, uncorrected (eV/atom) = -1.05

=====

Entry 5:
Material: LaHg4Br
Method: DFT, PBE
State: optimized geometry

a = 6.1808 Å, b = 6.1808 Å, c = 6.1808 Å
α = 60.00°, β = 60.00°, γ = 60.00°
Fractional coordinates of all 6 atoms:
La (0.7500, 0.7500, 0.7500)
Hg (0.8756, 0.3748, 0.3748)
Hg (0.3748, 0.3748, 0.8756)
Hg (0.3748, 0.8756, 0.3748)
Hg (0.3748, 0.3748, 0.3748)
Br (0.0000, 0.0000, 0.0000)

## Properties
- DOS at the Fermi energy (states/eV per atom) = 0.874
- energy relative to the elements, uncorrected (eV/atom) = -0.29

=====

Entry 6:
Material: La12Hg5Br3
Method: DFT, PBE
State: optimized geometry

a = 15.8368 Å, b = 15.8368 Å, c = 15.8368 Å
α = 109.47°, β = 109.47°, γ = 109.47°
Site moments in Bohr magnetons follow the coordinates.
Fractional coordinates of all 80 atoms:
Br (0.7500, 0.3750, 0.1250)  0.00
Br (0.8750, 0.7500, 0.1250)  0.00
Br (0.3750, 0.7500, 0.6250)  0.00
Br (0.2500, 0.1250, 0.3750)  0.00
Br (0.8750, 0.1250, 0.2500)  0.00
Br (0.3750, 0.6250, 0.2500)  0.00
Br (0.6250, 0.3750, 0.7500)  0.00
Br (0.1250, 0.8750, 0.7500)  0.00
Br (0.7500, 0.8750, 0.6250)  0.00
Br (0.6250, 0.2500, 0.3750)  0.00
Br (0.1250, 0.2500, 0.8750)  0.00
Br (0.2500, 0.6250, 0.8750)  0.00
Hg (0.1250, 0.3750, 0.2500)  0.00
Hg (0.0000, 0.5000, 0.0000)  -0.01
Hg (0.0000, 0.0000, 0.0000)  -0.01
Hg (0.3750, 0.2500, 0.1250)  0.00
Hg (0.5000, 0.0000, 0.5000)  -0.01
Hg (0.5000, 0.5000, 0.0000)  -0.01
Hg (0.1250, 0.7500, 0.3750)  0.00
Hg (0.7500, 0.1250, 0.8750)  0.00
Hg (0.7500, 0.6250, 0.3750)  0.00
Hg (0.3750, 0.1250, 0.7500)  0.00
Hg (0.6250, 0.8750, 0.2500)  0.00
Hg (0.5000, 0.5000, 0.5000)  -0.01
Hg (0.5000, 0.0000, 0.0000)  -0.01
Hg (0.0000, 0.0000, 0.5000)  -0.01
Hg (0.2500, 0.3750, 0.6250)  0.00
Hg (0.2500, 0.8750, 0.1250)  0.00
Hg (0.0000, 0.5000, 0.5000)  -0.01
Hg (0.8750, 0.2500, 0.6250)  0.00
Hg (0.6250, 0.7500, 0.8750)  0.00
Hg (0.8750, 0.6250, 0.7500)  0.00
La (0.7254, 0.1284, 0.0573)  -0.17
La (0.3318, 0.5573, 0.4289)  -0.17
La (0.9427, 0.3716, 0.2746)  -0.17
La (0.5573, 0.2254, 0.1284)  -0.17
La (0.5971, 0.7254, 0.6682)  -0.17
La (0.9427, 0.5711, 0.1682)  -0.17
La (0.3318, 0.7746, 0.4029)  -0.17
La (0.0711, 0.9029, 0.1284)  -0.17
La (0.5711, 0.9427, 0.6682)  -0.17
La (0.7254, 0.5971, 0.1682)  -0.17
La (0.7746, 0.4427, 0.3716)  -0.17
La (0.8318, 0.9289, 0.0573)  -0.17
La (0.1284, 0.7254, 0.5573)  -0.17
La (0.3716, 0.4289, 0.0971)  -0.17
La (0.0971, 0.9289, 0.3716)  -0.17
La (0.4029, 0.1284, 0.5711)  -0.17
La (0.0971, 0.1682, 0.2254)  -0.17
La (0.4427, 0.6682, 0.0711)  -0.17
La (0.8318, 0.9029, 0.2746)  -0.17
La (0.1284, 0.4029, 0.0711)  -0.17
La (0.3716, 0.9427, 0.7746)  -0.17
La (0.5711, 0.6284, 0.4029)  -0.17
La (0.9289, 0.8318, 0.5573)  -0.17
La (0.7746, 0.3318, 0.9029)  -0.17
La (0.4289, 0.3716, 0.5971)  -0.17
La (0.0711, 0.1682, 0.4427)  -0.17
La (0.2254, 0.6682, 0.0971)  -0.17
La (0.1682, 0.0971, 0.7254)  -0.17
La (0.6284, 0.0573, 0.2254)  -0.17
La (0.8716, 0.5971, 0.9289)  -0.17
La (0.5573, 0.3318, 0.9289)  -0.17
La (0.5971, 0.8716, 0.4289)  -0.17
La (0.9029, 0.8318, 0.7746)  -0.17
La (0.9029, 0.0711, 0.6284)  -0.17
La (0.8716, 0.2746, 0.4427)  -0.17
La (0.1682, 0.0711, 0.9427)  -0.17
La (0.6284, 0.5711, 0.9029)  -0.17
La (0.4289, 0.0573, 0.3318)  -0.17
La (0.2746, 0.4029, 0.8318)  -0.17
La (0.2254, 0.5573, 0.6284)  -0.17
La (0.9289, 0.0971, 0.8716)  -0.17
La (0.6682, 0.2254, 0.5971)  -0.17
La (0.4427, 0.7746, 0.8716)  -0.17
La (0.0573, 0.4289, 0.8318)  -0.17
La (0.4029, 0.2746, 0.3318)  -0.17
La (0.0573, 0.6284, 0.7254)  -0.17
La (0.6682, 0.4427, 0.5711)  -0.17
La (0.2746, 0.8716, 0.9427)  -0.17

## Properties
- DOS at the Fermi energy (states/eV per atom) = 1.464
- energy relative to the elements, uncorrected (eV/atom) = -0.13

=====

Q: Among the records above, which one has the lowest energy relative to the elements, uncorrected?
A: La3HgBr2

=====

Q: Which formula does entry 6 have?
A: La12Hg5Br3

=====

Q: What is the formula in the fourth record?
A: La3HgBr2